Entry 1:
Entry from Alexandria via LeMat-Bulk: a relaxed UInNi2P2 crystal (PBE).

The structure belongs to space group P-3m1 (No. 164); the cell edges are 3.7959, 3.7959 and 8.0785 Å and the angles 90.00°, 90.00° and 120.00°. The distinct sites, in fractional coordinates, are U at (0.0000, 0.0000, 0.0000), In at (0.0000, 0.0000, 0.5000), Ni at (0.3333, 0.6667, 0.7252) and P at (0.3333, 0.6667, 0.2097).

For the density of states at the Fermi level, the calculation gives 9.53 states/eV/cell. The calculation puts the energy relative to the elements at -309 kJ/mol of formula units. The calculation puts the calculated total energy at -6.603 eV/atom.

=====

Entry 2:
Entry from Alexandria via LeMat-Bulk: a relaxed Nd4Ho6Er crystal (PBE).

The structure belongs to space group P-6m2 (No. 187); the cell edges are 11.0111, 11.0111 and 3.5603 Å and the angles 90.00°, 90.00° and 120.00°. The distinct sites, in fractional coordinates, are Nd at (0.0000, 0.0000, 0.0000), Nd at (0.0037, 0.5019, 0.5000), Ho at (0.1539, 0.3078, 0.5000), Ho at (0.3525, 0.1762, 0.0000) and Er at (0.3333, 0.6667, 0.0000).

For the energy above the most stable polymorph in this dataset, the calculation gives 0.000 eV/atom. For the density of states at the Fermi level, the calculation gives 16.53 states/eV/cell. The calculation puts the energy relative to the elements at 177 kJ/mol of formula units. The calculation puts the calculated total energy at -4.479 eV/atom.

=====

Entry 3:
Entry from Alexandria via LeMat-Bulk: a relaxed NaLa2FeHg crystal (PBE).

The structure belongs to space group P4/mmm (No. 123); the cell edges are 5.159, 5.159 and 5.339 Å and the angles 90.00°, 90.00° and 90.00°. The distinct sites, in fractional coordinates, are Na at (0.000, 0.000, 0.000), La at (0.000, 0.500, 0.500), Fe at (0.500, 0.500, 0.500) and Hg at (0.500, 0.500, 0.000).

For the density of states at the Fermi level, the calculation gives 5.04 states/eV/cell. The calculation puts the energy relative to the elements at -15 kJ/mol of formula units. The calculation puts the calculated total energy at -4.018 eV/atom.

=====

Entry 4:
Entry from Alexandria via LeMat-Bulk: a relaxed Sc2NbAs2 crystal (PBE).

The structure belongs to space group P4/mbm (No. 127); the cell edges are 6.996, 6.996 and 3.782 Å and the angles 90.00°, 90.00° and 90.00°. The distinct sites, in fractional coordinates, are Sc at (0.164, 0.336, 0.000), Nb at (0.000, 0.000, 0.500) and As at (0.143, 0.643, 0.500).

For the density of states at the Fermi level, the calculation gives 9.02 states/eV/cell. The calculation puts the energy relative to the elements at -454 kJ/mol of formula units. The calculation puts the calculated total energy at -7.348 eV/atom.

=====

Entry 5:
Entry from Alexandria via LeMat-Bulk: a relaxed K2YSi crystal (PBE).

The structure belongs to space group I-42d (No. 122); the cell edges are 12.271, 12.271 and 5.499 Å and the angles 90.00°, 90.00° and 90.00°. The distinct sites, in fractional coordinates, are K at (0.107, 0.250, 0.125), Y at (0.000, 0.000, 0.500) and Si at (0.000, 0.000, 0.000).

For the energy relative to the elements, uncorrected, the calculation gives 0.394 eV per atom. For the density of states at the Fermi level, the calculation gives 13.53 states/eV/cell. The calculation puts the calculated total energy at -3.126 eV/atom.

=====

Entry 6:
Entry from Alexandria via LeMat-Bulk: a relaxed FeTcNi crystal (PBE).

The structure belongs to space group I4mm (No. 107); the cell edges are 2.606, 2.606 and 10.925 Å and the angles 90.00°, 90.00° and 90.00°. The distinct sites, in fractional coordinates, are Fe at (0.000, 0.000, 0.000), Tc at (0.000, 0.000, 0.329) and Ni at (0.000, 0.000, 0.659).

For the energy above the most stable polymorph in this dataset, the calculation gives 0.057 eV/atom. For the density of states at the Fermi level, the calculation gives 8.28 states/eV/cell. The calculation puts the energy relative to the elements at 26 kJ/mol of formula units. The calculation puts the calculated total energy at -8.113 eV/atom.

=====

Entry 7:
Entry from Alexandria via LeMat-Bulk: a relaxed SrNiCl crystal (PBE).

The structure belongs to space group P3m1 (No. 156); the cell edges are 4.1049, 4.1049 and 6.3871 Å and the angles 90.00°, 90.00° and 120.00°. The distinct sites, in fractional coordinates, are Sr at (0.0000, 0.0000, 0.0000), Ni at (0.3333, 0.6667, 0.6773) and Cl at (0.6667, 0.3333, 0.2621).

For the energy relative to the elements, uncorrected, the calculation gives -0.354 eV per atom. For the density of states at the Fermi level, the calculation gives 7.44 states/eV/cell. The calculation puts the calculated total energy at -3.457 eV/atom.

=====

Entry 8:
Entry from Alexandria via LeMat-Bulk: a relaxed Cd3AgAu7 crystal (PBE).

The structure belongs to space group P3m1 (No. 156); the cell edges are 5.9126, 5.9126 and 7.1719 Å and the angles 90.00°, 90.00° and 120.00°. The distinct sites, in fractional coordinates, are Cd at (0.0014, 0.5007, 0.0000), Ag at (0.3333, 0.6667, 0.6651), Au at (0.1642, 0.3285, 0.3298), Au at (0.3289, 0.1644, 0.6748) and Au at (0.6667, 0.3333, 0.3276).

For the density of states at the Fermi level, the calculation gives 1.43 states/eV/cell. The calculation puts the energy relative to the elements at -44 kJ/mol of formula units. The calculation puts the calculated total energy at -2.636 eV/atom.

=====

Entry 9:
Entry from Alexandria via LeMat-Bulk: a relaxed KCr2As crystal (PBE).

The structure belongs to space group Cm (No. 8); the cell edges are 7.559, 4.364 and 6.738 Å and the angles 90.00°, 112.32° and 90.00°. The distinct sites, in fractional coordinates, are K at (0.000, 0.000, 0.000), Cr at (0.323, 0.500, 0.471), Cr at (0.498, 0.000, 0.497) and As at (0.175, 0.000, 0.526).

For the density of states at the Fermi level, the calculation gives 0.13 states/eV/cell. The calculation puts the energy relative to the elements at 45 kJ/mol of formula units. The calculation puts the calculated total energy at -6.131 eV/atom.

=====

Entry 10:
Entry from Alexandria via LeMat-Bulk: a relaxed Bi3RhF crystal (PBE).

The structure belongs to space group Pm-3m (No. 221); the cell edges are 4.934, 4.934 and 4.934 Å and the angles 90.00°, 90.00° and 90.00°. The distinct sites, in fractional coordinates, are Bi at (0.000, 0.000, 0.500), Rh at (0.500, 0.500, 0.500) and F at (0.000, 0.000, 0.000).

For the energy above the most stable polymorph in this dataset, the calculation gives 0.000 eV/atom. For the energy relative to the elements, uncorrected, the calculation gives -0.014 eV per atom. For the density of states at the Fermi level, the calculation gives 1.31 states/eV/cell. The calculation puts the calculated total energy at -4.187 eV/atom.

=====

Entry 11:
Entry from Alexandria via LeMat-Bulk: a relaxed CeSnSb3 crystal (PBE).

The structure belongs to space group Pbcm (No. 57); the cell edges are 14.364, 6.191 and 6.407 Å and the angles 90.00°, 90.00° and 90.00°. The distinct sites, in fractional coordinates, are Ce at (0.172, 0.002, 0.250), Sn at (0.389, 0.250, 0.000), Sb at (0.000, 0.250, 0.000), Sb at (0.220, 0.503, 0.250) and Sb at (0.395, 0.707, 0.750).

For the energy relative to the elements, uncorrected, the calculation gives -0.409 eV per atom. For the density of states at the Fermi level, the calculation gives 25.25 states/eV/cell. The calculation puts the calculated total energy at -4.870 eV/atom.

=====

Entry 12:
Entry from Alexandria via LeMat-Bulk: a relaxed VCrRe crystal (PBE).

The structure belongs to space group P-1 (No. 2); the cell edges are 2.632, 4.976 and 6.420 Å and the angles 77.78°, 82.32° and 80.75°. The distinct sites, in fractional coordinates, are V at (0.088, 0.087, 0.160), Cr at (0.417, 0.416, 0.842) and Re at (0.249, 0.251, 0.499).

For the energy above the most stable polymorph in this dataset, the calculation gives 0.089 eV/atom. For the density of states at the Fermi level, the calculation gives 3.82 states/eV/cell. The calculation puts the energy relative to the elements at -30 kJ/mol of formula units. The calculation puts the calculated total energy at -10.501 eV/atom.

=====

Entry 13:
Entry from Alexandria via LeMat-Bulk: a relaxed Mo2PSe crystal (PBE).

The structure belongs to space group C2/m (No. 12); the cell edges are 6.571, 3.483 and 6.352 Å and the angles 90.00°, 108.18° and 90.00°. The distinct sites, in fractional coordinates, are Mo at (0.231, 0.000, 0.178), P at (0.000, 0.500, 0.000) and Se at (0.000, 0.000, 0.500).

For the energy above the most stable polymorph in this dataset, the calculation gives 0.208 eV/atom. For the energy relative to the elements, uncorrected, the calculation gives -0.073 eV per atom. For the density of states at the Fermi level, the calculation gives 7.94 states/eV/cell. The calculation puts the calculated total energy at -7.713 eV/atom.

=====

Entry 14:
Entry from Alexandria via LeMat-Bulk: a relaxed Hf2AlPt crystal (PBE).

The structure belongs to space group R-3m (No. 166, hexagonal axes); the cell edges are 3.3850, 3.3850 and 24.5990 Å and the angles 90.00°, 90.00° and 120.00°. The distinct sites, in fractional coordinates, are Hf at (0.0000, 0.0000, 0.2449), Al at (0.0000, 0.0000, 0.0000) and Pt at (0.0000, 0.0000, 0.5000).

For the density of states at the Fermi level, the calculation gives 11.87 states/eV/cell. The calculation puts the energy relative to the elements at -146 kJ/mol of formula units. The calculation puts the calculated total energy at -7.801 eV/atom.

=====

| no. | magnetization (Bohr magnetons per cell) |
| --- | --- |
| 1 | 1.49 |
| 2 | 0.00 |
| 3 | 0.00 |
| 4 | 0.00 |
| 5 | 0.00 |
| 6 | 4.73 |
| 7 | 0.98 |
| 8 | 0.00 |
| 9 | 0.01 |
| 10 | 0.00 |
| 11 | 2.82 |
| 12 | 0.00 |
| 13 | 0.00 |
| 14 | 0.00 |